Entry from Alexandria: Tb5Sb4Te after structural relaxation (PBE).

Unit cell a=11.6440 b=11.6440 c=11.6440 alpha=158.22 beta=149.04 gamma=38.17
Fractional coordinates of all 10 atoms:
Tb 0.0000 0.0000 0.0000
Tb 0.1994 0.1994 0.0000
Tb 0.3957 0.3957 0.0000
Tb 0.6043 0.6043 0.0000
Tb 0.8006 0.8006 0.0000
Sb 0.0991 0.5991 0.5000
Sb 0.2994 0.7994 0.5000
Sb 0.7006 0.2006 0.5000
Sb 0.9009 0.4009 0.5000
Te 0.5000 0.0000 0.5000

Summary:
Formation energy (no corrections)   -117.2 kJ per mole of atoms
Total DFT energy (no corrections)   -5.49 eV/atom
SG   Immm, No. 71
Energy above the lowest structure with this stoichiometry   0 meV/atom

=====

Entry from Alexandria: Rb3LiCr2Cl9 after structural relaxation (PBE).

Unit cell a=7.0670 b=7.0670 c=8.6865 alpha=90.00 beta=90.00 gamma=120.00
Fractional coordinates of all 15 atoms:
Rb 0.0000 0.0000 0.0000
Rb 0.3333 0.6667 0.6587
Rb 0.6667 0.3333 0.3413
Li 0.0000 0.0000 0.5000
Cr 0.3333 0.6667 0.1689
Cr 0.6667 0.3333 0.8311
Cl 0.0000 0.5000 0.0000
Cl 0.1720 0.3440 0.3225
Cl 0.1720 0.8280 0.3225
Cl 0.3440 0.1720 0.6775
Cl 0.5000 0.0000 0.0000
Cl 0.5000 0.5000 0.0000
Cl 0.6560 0.8280 0.3225
Cl 0.8280 0.1720 0.6775
Cl 0.8280 0.6560 0.6775

Summary:
Formation energy (no corrections)   -147.0 kJ per mole of atoms
Total DFT energy (no corrections)   -4.24 eV/atom
SG   P-3m1, No. 164

=====

Entry from Alexandria: BaSrDySbO6 after structural relaxation (PBE).

Unit cell a=5.9811 b=5.9811 c=5.9811 alpha=60.00 beta=60.00 gamma=60.00
Fractional coordinates of all 10 atoms:
Ba 0.0000 0.0000 0.0000
Sr 0.5000 0.5000 0.5000
Dy 0.2500 0.2500 0.2500
Sb 0.7500 0.7500 0.7500
O 0.5128 0.5128 0.9872
O 0.5128 0.9872 0.5128
O 0.5128 0.9872 0.9872
O 0.9872 0.5128 0.5128
O 0.9872 0.5128 0.9872
O 0.9872 0.9872 0.5128

Summary:
Formation energy (no corrections)   -256.4 kJ per mole of atoms
Total DFT energy (no corrections)   -6.87 eV/atom
SG   F-43m, No. 216
Energy above the lowest structure with this stoichiometry   14 meV/atom

=====

Entry from Alexandria: Y2TeRuPb after structural relaxation (PBE).

Unit cell a=5.5530 b=5.5530 c=5.7213 alpha=90.00 beta=90.00 gamma=90.00
Fractional coordinates of all 5 atoms:
Y 0.0000 0.5000 0.0000
Y 0.5000 0.0000 0.0000
Te 0.0000 0.0000 0.0000
Ru 0.5000 0.5000 0.5000
Pb 0.0000 0.0000 0.5000

Summary:
Formation energy (no corrections)   87.0 kJ per mole of atoms
Total DFT energy (no corrections)   -4.91 eV/atom
SG   P4/mmm, No. 123